First-principles (PBE-GGA) data for a relaxed RbCa2Br5 crystal, as listed in the Alexandria database.

Geometry as POSCAR:
```
RbCa2Br5
1.0
-2.258 3.741 7.845
2.258 -3.741 7.845
2.258 3.741 -7.845
Rb Ca Br
1 2 5
Direct
0.000 0.000 0.000
0.316 0.816 0.500
0.684 0.184 0.500
0.083 0.343 0.740
0.397 0.657 0.740
0.500 0.000 0.500
0.603 0.343 0.260
0.917 0.657 0.260
```

Computed properties:
volume: 265.1 Å³/cell
crystal system: orthorhombic
spin magnetization: 0.00 μB per formula unit
electronic total energy: -3.602 eV/atom
formation energy (no corrections): -1934.9 meV/atom
DOS(E_F): 0.000 states/eV/atom

First-principles (PBE-GGA) data for a relaxed K2IN crystal, as listed in the Alexandria database.

Geometry as POSCAR:
```
K2IN
1.0
-5.221 5.221 2.633
5.221 -5.221 2.633
5.221 5.221 -2.633
K I N
4 2 2
Direct
0.375 0.059 0.184
0.809 0.625 0.684
0.875 0.191 0.816
0.941 0.125 0.316
0.250 0.750 0.500
0.500 0.500 0.000
0.000 0.000 0.000
0.750 0.250 0.500
```

Computed properties:
volume: 287.1 Å³/cell
crystal system: tetragonal
spin magnetization: 0.09 μB per formula unit
electronic total energy: -2.804 eV/atom
polymorph energy (0 for the lowest one): 58.6 meV per atom
formation energy (no corrections): 213.2 meV/atom
DOS(E_F): 0.478 states/eV/atom

First-principles (PBE-GGA) data for a relaxed ZnReAs2 crystal, as listed in the Alexandria database.

Geometry as POSCAR:
```
ZnReAs2
1.0
4.209 -1.565 0.000
4.209 1.565 0.000
-0.639 0.000 5.009
Zn Re As
1 1 2
Direct
0.000 0.000 0.000
0.500 0.500 0.500
0.225 0.225 0.724
0.775 0.775 0.276
```

Computed properties:
volume: 66.0 Å³/cell
crystal system: monoclinic
spin magnetization: 0.00 μB per formula unit
electronic total energy: -5.466 eV/atom
E_form: 0.2893 eV/atom
DOS(E_F): 0.754 states/eV/atom

Question: Look up the spin magnetization of the first one.
Answer: 0.00 μB per formula unit